# 1
The following is a PBE calculation of DyErRu after structural relaxation, from Alexandria via LeMat-Bulk.

Cell lengths 12.6934, 4.2709, 5.8748 Å; angles 90.00, 101.78, 90.00 degrees
Space group C2/m (No. 12)
Unique sites:
1 Dy 0.0986 0.0000 0.3111 (multiplicity 4)
2 Er 0.1525 0.5000 0.8305 (multiplicity 4)
3 Ru 0.2323 0.5000 0.3125 (multiplicity 4)

Raw total energy   -19.221 eV per formula unit
Energy above the most stable polymorph in this dataset   104 meV/atom
Energy relative to the elements   -260.2 meV/atom
Total magnetization   0.0 μB per cell

***

# 2
The following is a PBE calculation of Dy3Er2Ru4 after structural relaxation, from Alexandria via LeMat-Bulk.

Cell lengths 4.8474, 4.8474, 9.1864 Å; angles 90.00, 90.00, 120.00 degrees
Space group P-3m1 (No. 164)
Unique sites:
1 Dy 0.0000 0.0000 0.0000 (multiplicity 1)
2 Dy 0.3333 0.6667 0.5908 (multiplicity 2)
3 Er 0.3333 0.6667 0.2045 (multiplicity 2)
4 Ru 0.0000 0.0000 0.3565 (multiplicity 2)
5 Ru 0.3333 0.6667 0.8940 (multiplicity 2)

Raw total energy   -63.214 eV per formula unit
Energy relative to the elements   -353.1 meV/atom
Total magnetization   0.0 μB per cell

***

# 3
The following is a PBE calculation of Dy2ErRu after structural relaxation, from Alexandria via LeMat-Bulk.

Cell lengths 3.9209, 11.8010, 9.0594 Å; angles 90.00, 90.00, 90.00 degrees
Space group Cmcm (No. 63)
Unique sites:
1 Dy 0.0000 0.1424 0.0668 (multiplicity 8)
2 Er 0.0000 0.4238 0.2500 (multiplicity 4)
3 Ru 0.0000 0.2419 0.7500 (multiplicity 4)

Raw total energy   -24.304 eV per formula unit
Energy above the most stable polymorph in this dataset   19 meV/atom
Energy relative to the elements   -315.3 meV/atom
Total magnetization   0.0 μB per cell

***

# 4
The following is a PBE calculation of DyEr2Ru after structural relaxation, from Alexandria via LeMat-Bulk.

Cell lengths 3.4061, 3.4061, 8.8157 Å; angles 90.00, 90.00, 90.00 degrees
Space group P4/mmm (No. 123)
Unique sites:
1 Dy 0.0000 0.0000 0.0000 (multiplicity 1)
2 Er 0.5000 0.5000 0.3152 (multiplicity 2)
3 Ru 0.0000 0.0000 0.5000 (multiplicity 1)

Raw total energy   -23.976 eV per formula unit
Energy above the most stable polymorph in this dataset   104 meV/atom
Energy relative to the elements   -243.1 meV/atom
Total magnetization   0.0 μB per cell

***

# 5
The following is a PBE calculation of Dy2Er3Ru3 after structural relaxation, from Alexandria via LeMat-Bulk.

Cell lengths 3.4419, 5.0541, 20.5612 Å; angles 90.00, 90.00, 90.00 degrees
Space group Immm (No. 71)
Unique sites:
1 Dy 0.0000 0.0000 0.2181 (multiplicity 4)
2 Er 0.0000 0.0000 0.0000 (multiplicity 2)
3 Er 0.0000 0.5000 0.1097 (multiplicity 4)
4 Ru 0.0000 0.0000 0.5000 (multiplicity 2)
5 Ru 0.0000 0.5000 0.3859 (multiplicity 4)

Raw total energy   -53.326 eV per formula unit
Energy relative to the elements   -325.7 meV/atom
Total magnetization   0.0 μB per cell

***

# 6
The following is a PBE calculation of Dy5Er2Ru5 after structural relaxation, from Alexandria via LeMat-Bulk.

Cell lengths 8.3624, 4.8252, 13.4014 Å; angles 90.00, 101.93, 90.00 degrees
Space group C2/m (No. 12)
Unique sites:
1 Dy 0.0000 0.0000 0.0000 (multiplicity 2)
2 Dy 0.1906 0.0000 0.5718 (multiplicity 4)
3 Dy 0.2159 0.5000 0.1471 (multiplicity 4)
4 Er 0.0718 0.5000 0.7159 (multiplicity 4)
5 Ru 0.0000 0.5000 0.5000 (multiplicity 2)
6 Ru 0.1147 0.0000 0.3440 (multiplicity 4)
7 Ru 0.1449 0.5000 0.9346 (multiplicity 4)

Raw total energy   -81.340 eV per formula unit
Energy relative to the elements   -235.4 meV/atom
Total magnetization   0.0 μB per cell

***

# 7
The following is a PBE calculation of Dy3ErRu8 after structural relaxation, from Alexandria via LeMat-Bulk.

Cell lengths 9.2098, 5.3205, 9.2694 Å; angles 90.00, 109.49, 90.00 degrees
Space group Cm (No. 8)
Unique sites:
1 Dy 0.0000 0.0000 0.0000 (multiplicity 2)
2 Dy 0.0001 0.5000 0.5003 (multiplicity 2)
3 Dy 0.3752 0.0000 0.1254 (multiplicity 2)
4 Er 0.3753 0.5000 0.6257 (multiplicity 2)
5 Ru 0.1872 0.2506 0.8120 (multiplicity 4)
6 Ru 0.1878 0.0000 0.5634 (multiplicity 2)
7 Ru 0.1881 0.2503 0.3138 (multiplicity 4)
8 Ru 0.1878 0.5000 0.0632 (multiplicity 2)
9 Ru 0.4378 0.0000 0.8120 (multiplicity 2)
10 Ru 0.4377 0.5000 0.3138 (multiplicity 2)

Raw total energy   -96.257 eV per formula unit
Energy relative to the elements   -306.8 meV/atom
Total magnetization   0.0 μB per cell

***

# 8
The following is a PBE calculation of Dy2ErRu after structural relaxation, from Alexandria via LeMat-Bulk.

Cell lengths 3.4266, 3.4266, 8.8431 Å; angles 90.00, 90.00, 90.00 degrees
Space group P4/mmm (No. 123)
Unique sites:
1 Dy 0.0000 0.0000 0.1868 (multiplicity 2)
2 Er 0.5000 0.5000 0.5000 (multiplicity 1)
3 Ru 0.5000 0.5000 0.0000 (multiplicity 1)

Raw total energy   -23.808 eV per formula unit
Energy above the most stable polymorph in this dataset   143 meV/atom
Energy relative to the elements   -191.2 meV/atom
Total magnetization   0.0 μB per cell

***

DOS(E_F), respectively: 0.65 0.49 0.74 0.80 0.53 0.69 1.23 1.01 states/eV/atom.